No. 1
Compound: BeHg2Ir
Source: the Alexandria database
Functional: PBE-GGA
Structure: relaxed

a b c (Å): 8.590 8.590 8.590
angles (deg): 20.28 20.28 20.28
Atoms (fractional coordinates):
Ir  0.250  0.250  0.250
Hg  0.008  0.008  0.008
Hg  0.492  0.492  0.492
Be  0.750  0.750  0.750

Computed properties:
Magnetization (μB per formula unit): 0.29
Raw total energy (eV for the cell shown): -11.0
Energy of formation from the pure elements (eV/atom): 0.54



No. 2
Compound: TcNi2Se6
Source: the Alexandria database
Functional: PBE-GGA
Structure: relaxed

a b c (Å): 6.338 4.984 10.671
angles (deg): 90.00 89.98 90.00
Atoms (fractional coordinates):
Se  0.688  0.225  0.158
Se  0.834  0.761  0.000
Se  0.312  0.775  0.842
Se  0.812  0.725  0.342
Se  0.666  0.261  0.500
Se  0.312  0.776  0.158
Se  0.334  0.739  0.500
Se  0.812  0.724  0.658
Se  0.188  0.276  0.342
Se  0.688  0.224  0.842
Se  0.166  0.239  0.000
Se  0.188  0.275  0.658
Ni  0.500  0.000  0.324
Ni  0.000  0.500  0.824
Ni  0.000  0.500  0.176
Ni  0.500  0.000  0.676
Tc  0.500  0.500  0.000
Tc  0.000  0.000  0.500

Computed properties:
Magnetization (μB per formula unit): 0.00
Raw total energy (eV for the cell shown): -89.1
Energy relative to the elements, uncorrected (meV per atom): -190



No. 3
Compound: AlFeNi4
Source: the Alexandria database
Functional: PBE-GGA
Structure: relaxed

a b c (Å): 2.597 4.405 6.547
angles (deg): 98.74 78.56 72.85
Atoms (fractional coordinates):
Al  0.500  0.500  0.500
Ni  0.833  0.500  0.834
Ni  0.167  0.500  0.166
Ni  0.667  0.997  0.668
Ni  0.333  0.003  0.332
Fe  0.000  0.000  0.000

Computed properties:
Magnetization (μB per formula unit): 3.70
Offset from the most stable computed form (meV per atom): 0
Raw total energy (eV for the cell shown): -36.8
Energy of formation from the pure elements (eV/atom): -0.24



No. 4
Compound: Nd4MgCu
Source: the Alexandria database
Functional: PBE-GGA
Structure: relaxed

a b c (Å): 10.038 10.038 10.038
angles (deg): 60.00 60.00 60.00
Atoms (fractional coordinates):
Nd  0.402  0.402  0.795
Nd  0.558  0.558  0.942
Nd  0.816  0.184  0.816
Nd  0.558  0.942  0.558
Nd  0.402  0.795  0.402
Nd  0.402  0.402  0.402
Nd  0.184  0.184  0.816
Nd  0.816  0.184  0.184
Nd  0.558  0.942  0.942
Nd  0.942  0.558  0.558
Nd  0.942  0.558  0.942
Nd  0.184  0.816  0.184
Nd  0.942  0.942  0.558
Nd  0.184  0.816  0.816
Nd  0.795  0.402  0.402
Nd  0.816  0.816  0.184
Cu  0.608  0.608  0.608
Cu  0.608  0.608  0.176
Cu  0.608  0.176  0.608
Cu  0.176  0.608  0.608
Mg  0.171  0.487  0.171
Mg  0.171  0.171  0.171
Mg  0.487  0.171  0.171
Mg  0.171  0.171  0.487

Computed properties:
Magnetization (μB per formula unit): 0.00
Offset from the most stable computed form (meV per atom): 0
Raw total energy (eV for the cell shown): -100.9
Energy of formation from the pure elements (eV/atom): -0.08



| no. | calculated density (Mg/m³) |
| --- | --- |
| 1 | 15.009 |
| 2 | 6.788 |
| 3 | 7.714 |
| 4 | 6.174 |